Entry 1:
A plane-wave DFT calculation with PBE-GGA was carried out for a relaxed structure of Ac6NiPt2Rh.

Results
Total moment in Bohr magnetons per cell: 0.00
Space group: R3
Raw total energy in eV/cell: -56.6
Formation enthalpy at 0 K in eV/f.u.: -6.74

Cell: 7.565 7.566 8.244 Å, 62.70 62.70 60.05°
Element x y z (fractional)
Ac 0.730 0.094 0.752
Pt 0.508 0.507 0.477
Pt 0.007 0.006 0.980
Ni 0.328 0.328 0.016
Ac 0.093 0.425 0.751
Ac 0.227 0.926 0.255
Ac 0.927 0.592 0.255
Ac 0.424 0.731 0.751
Ac 0.592 0.227 0.255
Rh 0.826 0.826 0.523

***

Entry 2:
A plane-wave DFT calculation with PBE-GGA was carried out for a relaxed structure of Ac6NiPtRh2.

Results
Total moment in Bohr magnetons per cell: 0.00
Space group: P1
Raw total energy in eV/cell: -57.1
Formation enthalpy at 0 K in eV/f.u.: -5.90

Cell: 7.485 7.487 8.207 Å, 62.86 62.87 60.11°
Element x y z (fractional)
Ac 0.917 0.589 0.249
Ac 0.590 0.244 0.249
Ac 0.409 0.740 0.753
Ac 0.097 0.410 0.753
Rh 0.002 0.002 0.994
Ac 0.246 0.916 0.249
Rh 0.503 0.503 0.491
Pt 0.829 0.829 0.514
Ac 0.739 0.098 0.753
Ni 0.330 0.331 0.010

***

Entry 3:
A plane-wave DFT calculation with PBE-GGA was carried out for a relaxed structure of Ac6Ni2RuPt.

Results
Total moment in Bohr magnetons per cell: 0.00
Space group: P1
Raw total energy in eV/cell: -55.3
Formation enthalpy at 0 K in eV/f.u.: -3.72

Cell: 7.437 7.434 8.156 Å, 62.87 62.90 60.11°
Element x y z (fractional)
Ac 0.254 0.916 0.244
Ac 0.917 0.585 0.245
Pt 0.833 0.832 0.503
Ac 0.586 0.253 0.245
Ru 0.331 0.332 0.006
Ac 0.739 0.094 0.756
Ac 0.411 0.740 0.756
Ac 0.092 0.411 0.757
Ni 0.498 0.499 0.504
Ni 0.000 0.000 0.999

***

Entry 4:
A plane-wave DFT calculation with PBE-GGA was carried out for a relaxed structure of Ac6NiRu2Pt.

Results
Total moment in Bohr magnetons per cell: 0.00
Space group: P1
Raw total energy in eV/cell: -58.6
Formation enthalpy at 0 K in eV/f.u.: -3.61

Cell: 7.460 7.458 8.079 Å, 62.48 62.48 59.89°
Element x y z (fractional)
Ac 0.582 0.255 0.249
Ac 0.750 0.091 0.753
Ru 0.997 0.997 0.010
Ru 0.498 0.498 0.507
Ac 0.407 0.748 0.753
Ni 0.336 0.336 0.992
Ac 0.914 0.583 0.249
Ac 0.253 0.914 0.250
Pt 0.833 0.833 0.500
Ac 0.092 0.407 0.753

***

Entry 5:
A plane-wave DFT calculation with PBE-GGA was carried out for a relaxed structure of Ac4NiPtS2.

Results
Total moment in Bohr magnetons per cell: 0.00
Space group: P2/m
Raw total energy in eV/cell: -46.9
ΔE_f (raw) in meV per atom: -1295

Cell: 4.255 7.969 7.395 Å, 72.11 90.00 90.00°
Element x y z (fractional)
Ac 0.000 0.264 0.248
Ac 0.000 0.736 0.752
Ni 0.000 0.500 0.500
Pt 0.500 0.500 0.000
S 0.500 0.000 0.500
Ac 0.500 0.267 0.741
S 0.000 0.000 0.000
Ac 0.500 0.733 0.259

***

Entry 6:
A plane-wave DFT calculation with PBE-GGA was carried out for a relaxed structure of Ac2NiSb4Pt3.

Results
Total moment in Bohr magnetons per cell: 0.00
Space group: P-4m2
Raw total energy in eV/cell: -57.1
ΔE_f (raw) in meV per atom: -846

Cell: 4.721 4.721 10.602 Å, 90.00 90.00 90.00°
Element x y z (fractional)
Ac 0.000 0.500 0.737
Sb 0.500 0.000 0.621
Sb 0.500 0.500 0.000
Ac 0.500 0.000 0.263
Pt 0.500 0.000 0.873
Sb 0.000 0.500 0.379
Sb 0.000 0.000 0.000
Ni 0.500 0.500 0.500
Pt 0.000 0.000 0.500
Pt 0.000 0.500 0.127

***

Entry 7:
A plane-wave DFT calculation with PBE-GGA was carried out for a relaxed structure of AcScNiPt.

Results
Total moment in Bohr magnetons per cell: 0.00
Space group: F-43m
Raw total energy in eV/cell: -24.4
Formation enthalpy at 0 K in eV/f.u.: -2.11

Cell: 4.989 4.989 4.989 Å, 60.00 60.00 60.00°
Element x y z (fractional)
Pt 0.000 0.000 0.000
Ni 0.500 0.500 0.500
Ac 0.250 0.250 0.250
Sc 0.750 0.750 0.750

***

Entry 8:
A plane-wave DFT calculation with PBE-GGA was carried out for a relaxed structure of Ac8NiPt3Se4.

Results
Total moment in Bohr magnetons per cell: 0.00
Space group: C2/m
Raw total energy in eV/cell: -93.1
ΔE_f (raw) in meV per atom: -1402

Cell: 8.686 9.257 8.685 Å, 117.98 120.00 90.00°
Element x y z (fractional)
Ac 0.257 0.273 0.514
Se 0.500 0.000 0.000
Se 0.000 0.000 0.500
Se 0.000 0.000 0.000
Ac 0.240 0.725 0.480
Ac 0.759 0.274 0.014
Ac 0.760 0.275 0.520
Pt 0.500 0.500 0.000
Pt 0.000 0.500 0.500
Pt 0.500 0.500 0.500
Ac 0.743 0.727 0.486
Ac 0.241 0.726 0.986
Ni 0.000 0.500 0.000
Ac 0.744 0.726 0.986
Ac 0.256 0.274 0.014
Se 0.500 0.000 0.500